Entry 1:
First-principles (PBE-GGA) data for an optimized crystal structure of Sm2SbRh, as listed in Alexandria.

Unit cell a=3.594 b=3.594 c=7.712 alpha=90.00 beta=90.00 gamma=90.00
Space group P4/mmm (No. 123)
Asymmetric unit:
Sm 0.000 0.000 0.220 (multiplicity 2)
Sb 0.500 0.500 0.500 (multiplicity 1)
Rh 0.500 0.500 0.000 (multiplicity 1)

Calculated values
The value obtained for the formation energy from raw total energies is -74 kJ/mol of atoms. For the total magnetic moment, the calculation gives 0.000 μB per atom.

---

Entry 2:
First-principles (PBE-GGA) data for an optimized crystal structure of AlAgSn, as listed in Alexandria.

Unit cell a=6.250 b=5.877 c=6.838 alpha=90.00 beta=90.00 gamma=90.00
Space group Pnma (No. 62)
Asymmetric unit:
Al 0.000 0.000 0.000 (multiplicity 4)
Ag 0.195 0.250 0.298 (multiplicity 4)
Sn 0.100 0.750 0.374 (multiplicity 4)

Calculated values
For the total magnetic moment, the calculation gives 0.000 μB per atom. The calculation puts the energy relative to the elements at 16 kJ/mol of formula units.

---

Entry 3:
First-principles (PBE-GGA) data for an optimized crystal structure of ScCoSb2, as listed in Alexandria.

Unit cell a=4.150 b=5.402 c=7.164 alpha=90.00 beta=90.00 gamma=90.00
Space group Cmmm (No. 65)
Asymmetric unit:
Sc 0.000 0.000 0.000 (multiplicity 2)
Co 0.000 0.000 0.500 (multiplicity 2)
Sb 0.000 0.500 0.283 (multiplicity 4)

Calculated values
The value obtained for the formation energy from raw total energies is -17 kJ/mol of atoms. For the total magnetic moment, the calculation gives 0.135 μB per atom.

---

Entry 4:
First-principles (PBE-GGA) data for an optimized crystal structure of FeTc4As, as listed in Alexandria.

Unit cell a=7.253 b=7.253 c=7.253 alpha=90.00 beta=90.00 gamma=90.00
Space group F-43m (No. 216)
Asymmetric unit:
Fe 0.000 0.000 0.000 (multiplicity 4)
Tc 0.125 0.125 0.375 (multiplicity 16)
As 0.250 0.250 0.750 (multiplicity 4)

Calculated values
For the total magnetic moment, the calculation gives 0.594 μB per atom. The calculation puts the energy relative to the elements at 354 kJ/mol of formula units.

---

Entry 5:
First-principles (PBE-GGA) data for an optimized crystal structure of Ti2NiHOs, as listed in Alexandria.

Unit cell a=4.068 b=4.068 c=3.631 alpha=90.00 beta=90.00 gamma=90.00
Space group P4/mmm (No. 123)
Asymmetric unit:
Ti 0.000 0.500 0.000 (multiplicity 2)
Ni 0.000 0.000 0.500 (multiplicity 1)
H 0.500 0.500 0.000 (multiplicity 1)
Os 0.500 0.500 0.500 (multiplicity 1)

Calculated values
For the total magnetic moment, the calculation gives 0.000 μB per atom. The calculation puts the excess energy over the best structure of this formula in the dataset at 0.132 eV per atom.

---

Entry 6:
First-principles (PBE-GGA) data for an optimized crystal structure of Ti2MnNi2, as listed in Alexandria.

Unit cell a=3.056 b=14.656 c=2.983 alpha=90.00 beta=90.00 gamma=90.00
Space group Cmmm (No. 65)
Asymmetric unit:
Ti 0.000 0.100 0.000 (multiplicity 4)
Mn 0.000 0.500 0.500 (multiplicity 2)
Ni 0.000 0.313 0.500 (multiplicity 4)

Calculated values
For the total magnetic moment, the calculation gives 0.056 μB per atom. The calculation puts the energy relative to the elements at -109 kJ/mol of formula units.

---

Entry 7:
First-principles (PBE-GGA) data for an optimized crystal structure of HgBIrPd2, as listed in Alexandria.

Unit cell a=4.260 b=4.260 c=4.141 alpha=90.00 beta=90.00 gamma=90.00
Space group P4/mmm (No. 123)
Asymmetric unit:
Hg 0.000 0.000 0.000 (multiplicity 1)
B 0.500 0.500 0.500 (multiplicity 1)
Ir 0.500 0.500 0.000 (multiplicity 1)
Pd 0.000 0.500 0.500 (multiplicity 2)

Calculated values
For the total magnetic moment, the calculation gives 0.000 μB per atom. The calculation puts the energy relative to the elements at -36 kJ/mol of formula units.

---

Entry 8:
First-principles (PBE-GGA) data for an optimized crystal structure of DySc8, as listed in Alexandria.

Unit cell a=9.872 b=9.872 c=4.648 alpha=90.00 beta=90.00 gamma=90.00
Space group I4/mmm (No. 139)
Asymmetric unit:
Dy 0.000 0.000 0.000 (multiplicity 2)
Sc 0.000 0.336 0.000 (multiplicity 8)
Sc 0.169 0.169 0.500 (multiplicity 8)

Calculated values
For the total magnetic moment, the calculation gives 0.000 μB per atom. The calculation puts the energy relative to the elements at 45 kJ/mol of formula units.

---

Entry 9:
First-principles (PBE-GGA) data for an optimized crystal structure of Rb2HgBr2, as listed in Alexandria.

Unit cell a=6.622 b=6.622 c=13.104 alpha=90.00 beta=90.00 gamma=90.00
Space group I4/mmm (No. 139)
Asymmetric unit:
Rb 0.000 0.500 0.250 (multiplicity 4)
Hg 0.000 0.000 0.000 (multiplicity 2)
Br 0.000 0.000 0.301 (multiplicity 4)

Calculated values
The value obtained for the formation energy from raw total energies is -122 kJ/mol of atoms. For the total magnetic moment, the calculation gives 0.000 μB per atom. The calculation puts the excess energy over the best structure of this formula in the dataset at 0.052 eV per atom.

---

Entry 10:
First-principles (PBE-GGA) data for an optimized crystal structure of ZrTe2I, as listed in Alexandria.

Unit cell a=6.711 b=3.874 c=10.731 alpha=90.00 beta=90.13 gamma=90.00
Space group Cm (No. 8)
Asymmetric unit:
Zr 0.000 0.000 0.000 (multiplicity 2)
Te 0.167 0.500 0.173 (multiplicity 2)
Te 0.333 0.000 0.827 (multiplicity 2)
I 0.165 0.500 0.534 (multiplicity 2)

Calculated values
The value obtained for the formation energy from raw total energies is -52 kJ/mol of atoms. For the total magnetic moment, the calculation gives 0.000 μB per atom. The calculation puts the excess energy over the best structure of this formula in the dataset at 0.011 eV per atom.

---

Entry 11:
First-principles (PBE-GGA) data for an optimized crystal structure of Zr3Cl4, as listed in Alexandria.

Unit cell a=5.7183 b=5.7183 c=5.4673 alpha=90.00 beta=90.00 gamma=120.00
Space group P6/mmm (No. 191)
Asymmetric unit:
Zr 0.0000 0.5000 0.0000 (multiplicity 3)
Cl 0.0000 0.0000 0.2466 (multiplicity 2)
Cl 0.3333 0.6667 0.5000 (multiplicity 2)

Calculated values
The value obtained for the formation energy from raw total energies is -32 kJ/mol of atoms. For the total magnetic moment, the calculation gives 0.000 μB per atom.

---

Entry 12:
First-principles (PBE-GGA) data for an optimized crystal structure of ZrAl2P, as listed in Alexandria.

Unit cell a=2.936 b=4.812 c=5.059 alpha=90.00 beta=102.88 gamma=90.00
Space group P2/m (No. 10)
Asymmetric unit:
Zr 0.000 0.000 0.000 (multiplicity 1)
Al 0.373 0.500 0.738 (multiplicity 2)
P 0.500 0.000 0.500 (multiplicity 1)

Calculated values
For the total magnetic moment, the calculation gives 0.000 μB per atom. The calculation puts the energy relative to the elements at -95 kJ/mol of formula units.

---

Question: Which formula does entry 12 have?
Answer: ZrAl2P

---

Question: Which of these has the highest total magnetic moment?
Answer: FeTc4As